Entry 1:
Crystalline TcOs2Br at its relaxed geometry. Source: Alexandria via LeMat-Bulk, functional PBE.

Cell: 6.302 6.302 6.302 Å, 90.00 90.00 90.00°
Atoms (fractional coordinates):
Tc 0.000 0.000 0.000
Tc 0.000 0.500 0.500
Tc 0.500 0.000 0.500
Tc 0.500 0.500 0.000
Os 0.250 0.250 0.250
Os 0.250 0.250 0.750
Os 0.250 0.750 0.250
Os 0.250 0.750 0.750
Os 0.750 0.250 0.250
Os 0.750 0.250 0.750
Os 0.750 0.750 0.250
Os 0.750 0.750 0.750
Br 0.000 0.000 0.500
Br 0.000 0.500 0.000
Br 0.500 0.000 0.000
Br 0.500 0.500 0.500

## Properties
Final energy in eV/cell: -115.6
Energy relative to the lowest polymorph listed for this composition in meV/atom: 712
Size of the total moment in μB per formula unit: 0.00
E_form (uncorrected) in eV/f.u.: 5.6

---

Entry 2:
Crystalline U3TlS6 at its relaxed geometry. Source: Alexandria via LeMat-Bulk, functional PBE.

Cell: 11.289 4.089 11.577 Å, 90.00 108.06 90.00°
Atoms (fractional coordinates):
U 0.004 0.250 0.165
U 0.178 0.750 0.511
U 0.338 0.250 0.929
U 0.662 0.750 0.071
U 0.822 0.250 0.489
U 0.996 0.750 0.835
Tl 0.414 0.250 0.318
Tl 0.586 0.750 0.682
S 0.027 0.250 0.406
S 0.122 0.250 0.986
S 0.171 0.750 0.266
S 0.232 0.750 0.781
S 0.343 0.250 0.562
S 0.428 0.750 0.088
S 0.572 0.250 0.912
S 0.657 0.750 0.438
S 0.768 0.250 0.219
S 0.829 0.250 0.734
S 0.878 0.750 0.014
S 0.973 0.750 0.594

## Properties
Final energy in eV/cell: -146.8
Energy relative to the lowest polymorph listed for this composition in meV/atom: 0
Size of the total moment in μB per formula unit: 2.68
E_form (uncorrected) in eV/f.u.: -12.4

---

Entry 3:
Crystalline BPS2Cl at its relaxed geometry. Source: Alexandria via LeMat-Bulk, functional PBE.

Cell: 4.014 4.014 4.933 Å, 90.00 90.00 90.00°
Atoms (fractional coordinates):
B 0.000 0.000 0.000
P 0.000 0.000 0.500
S 0.000 0.500 0.000
S 0.500 0.000 0.000
Cl 0.500 0.500 0.500

## Properties
Final energy in eV/cell: -17.6
Energy relative to the lowest polymorph listed for this composition in meV/atom: 45
Size of the total moment in μB per formula unit: 0.00
E_form (uncorrected) in eV/f.u.: 4.5

---

Entry 4:
Crystalline LiMn2Br at its relaxed geometry. Source: Alexandria via LeMat-Bulk, functional PBE.

Cell: 3.327 3.327 6.950 Å, 90.00 90.00 90.00°
Atoms (fractional coordinates):
Li 0.000 0.000 0.000
Mn 0.000 0.000 0.453
Mn 0.500 0.500 0.251
Br 0.500 0.500 0.863

## Properties
Final energy in eV/cell: -21.6
Energy relative to the lowest polymorph listed for this composition in meV/atom: 26
Size of the total moment in μB per formula unit: 7.94
E_form (uncorrected) in eV/f.u.: 0.3